Material: Pm6SmDy2Mg
Method: DFT, GGA-PBE
State: relaxed

a = 9.199 Å, b = 9.007 Å, c = 9.007 Å
α = 117.66°, β = 91.54°, γ = 91.54°
Fractional positions:
Mg 0.750 0.576 0.424
Mg 0.250 0.424 0.576
Dy 0.947 0.680 0.788
Dy 0.553 0.212 0.320
Dy 0.053 0.320 0.212
Dy 0.447 0.788 0.680
Sm 0.750 0.028 0.972
Sm 0.250 0.972 0.028
Pm 0.400 0.509 0.278
Pm 0.203 0.564 0.991
Pm 0.554 0.784 0.133
Pm 0.054 0.133 0.784
Pm 0.100 0.722 0.491
Pm 0.900 0.278 0.509
Pm 0.297 0.009 0.436
Pm 0.703 0.991 0.564
Pm 0.797 0.436 0.009
Pm 0.946 0.867 0.216
Pm 0.446 0.216 0.867
Pm 0.600 0.491 0.722

## Properties
Total moment, μB per cell: 0.0
Energy, eV/atom: -4.2850
Space-group type: C2/c (15)